Record 1
This record from Alexandria via LeMat-Bulk describes a geometry-optimized Pd2PtRh structure. The functional is PBE-GGA.

Structure (POSCAR):
```
Pd2PtRh
1.0
2.774 0.000 0.000
0.000 2.774 0.000
0.000 0.000 7.843
Pd Pt Rh
2 1 1
direct
0.000 0.000 0.244
0.000 0.000 0.756
0.500 0.500 0.500
0.500 0.500 0.000
```

Summary:
Volume, Å³/cell: 60.35
Energy above the most stable polymorph in this dataset, eV per atom: 0.008
SG: No. 123

Record 2
This record from Alexandria via LeMat-Bulk describes a geometry-optimized PdPtRh structure. The functional is PBE-GGA.

Structure (POSCAR):
```
PdPtRh
1.0
2.760 0.000 0.000
0.000 3.912 0.000
0.000 0.000 8.349
Pd Pt Rh
2 2 2
direct
0.250 0.250 0.085
0.750 0.750 0.915
0.250 0.250 0.745
0.750 0.750 0.255
0.250 0.250 0.421
0.750 0.750 0.579
```

Summary:
Volume, Å³/cell: 90.13
Energy above the most stable polymorph in this dataset, eV per atom: 0.000
SG: No. 59

Record 3
This record from Alexandria via LeMat-Bulk describes a geometry-optimized Pd4Pt2Rh structure. The functional is PBE-GGA.

Structure (POSCAR):
```
Pd4Pt2Rh
1.0
-3.868 3.868 3.843
3.868 -3.868 3.843
3.868 3.868 -3.843
Pd Pt Rh
8 4 2
direct
0.129 0.540 0.750
0.130 0.040 0.750
0.290 0.379 0.250
0.460 0.210 0.589
0.620 0.871 0.411
0.621 0.870 0.911
0.790 0.380 0.250
0.960 0.710 0.089
0.375 0.002 0.127
0.752 0.625 0.627
0.875 0.248 0.873
0.998 0.125 0.373
0.250 0.750 0.500
0.500 0.500 0.000
```

Summary:
Volume, Å³/cell: 229.98
Energy above the most stable polymorph in this dataset, eV per atom: 0.125
SG: No. 122

Record 4
This record from Alexandria via LeMat-Bulk describes a geometry-optimized Pd7PtRh2 structure. The functional is PBE-GGA.

Structure (POSCAR):
```
Pd7PtRh2
1.0
3.627 -6.829 0.000
3.627 6.829 0.000
0.000 0.000 3.824
Pd Pt Rh
7 1 2
direct
0.000 0.000 0.000
0.207 0.416 0.000
0.301 0.699 0.500
0.416 0.207 0.000
0.584 0.793 0.000
0.699 0.301 0.500
0.793 0.584 0.000
0.500 0.500 0.500
0.187 0.813 0.000
0.813 0.187 0.000
```

Summary:
Volume, Å³/cell: 189.46
SG: No. 65

Record 5
This record from Alexandria via LeMat-Bulk describes a geometry-optimized Pd4Pt4Rh structure. The functional is PBE-GGA.

Structure (POSCAR):
```
Pd4Pt4Rh
1.0
-4.177 4.177 1.979
4.177 -4.177 1.979
4.177 4.177 -1.979
Pd Pt Rh
4 4 1
direct
0.000 0.332 0.332
0.000 0.668 0.668
0.332 0.000 0.332
0.668 0.000 0.668
0.334 0.334 0.669
0.334 0.666 0.000
0.666 0.334 0.000
0.666 0.666 0.331
0.000 0.000 0.000
```

Summary:
Volume, Å³/cell: 138.14
Energy above the most stable polymorph in this dataset, eV per atom: 0.000
SG: No. 139

Record 6
This record from Alexandria via LeMat-Bulk describes a geometry-optimized PdPt5Rh4 structure. The functional is PBE-GGA.

Structure (POSCAR):
```
PdPt5Rh4
1.0
6.794 -1.970 0.000
6.794 1.970 0.000
-3.565 0.000 5.991
Pd Pt Rh
1 5 4
direct
0.000 0.000 0.000
0.000 0.000 0.500
0.328 0.328 0.275
0.329 0.329 0.881
0.671 0.671 0.119
0.672 0.672 0.725
0.176 0.176 0.428
0.479 0.479 0.729
0.521 0.521 0.271
0.824 0.824 0.572
```

Summary:
Volume, Å³/cell: 160.39
Energy above the most stable polymorph in this dataset, eV per atom: 0.202
SG: No. 12

Record 7
This record from Alexandria via LeMat-Bulk describes a geometry-optimized Pd2Pt2Rh3 structure. The functional is PBE-GGA.

Structure (POSCAR):
```
Pd2Pt2Rh3
1.0
1.972 -9.887 0.000
1.972 9.887 0.000
0.000 0.000 2.723
Pd Pt Rh
2 2 3
direct
0.207 0.793 0.000
0.793 0.207 0.000
0.362 0.638 0.500
0.638 0.362 0.500
0.067 0.933 0.000
0.500 0.500 0.500
0.933 0.067 0.000
```

Summary:
Volume, Å³/cell: 106.21
SG: No. 65

Record 8
This record from Alexandria via LeMat-Bulk describes a geometry-optimized PdPt4Rh3 structure. The functional is PBE-GGA.

Structure (POSCAR):
```
PdPt4Rh3
1.0
4.815 -2.775 0.000
4.815 2.775 0.000
-1.617 0.000 4.511
Pd Pt Rh
1 4 3
direct
0.000 0.000 0.000
0.000 0.500 0.000
0.251 0.251 0.504
0.500 0.000 0.000
0.749 0.749 0.496
0.254 0.746 0.500
0.500 0.500 0.000
0.746 0.254 0.500
```

Summary:
Volume, Å³/cell: 120.55
Energy above the most stable polymorph in this dataset, eV per atom: 0.020
SG: No. 12

Calculated ΔE_f (kJ/mol of formula units), listed in the same order as above: 12, -6, 205, 587, -5, 167, 38, 5
Calculated total DFT energy (no corrections) (eV per atom), listed in the same order as above: -5.91, -6.22, -5.44, -5.10, -5.82, -6.31, -6.30, -6.42
Calculated magnetic moment (μB per atom), listed in the same order as above: 0.047, 0.000, 0.000, 0.000, 0.265, 0.000, 0.000, 0.000